Record 1
VASP calculation (meta-GGA SCAN) on ZrCdPb at its PBEsol-relaxed geometry.

Properties
Crystal system: cubic
Total energy (Ry/atom): -3.334
Magnetization (μB per cell): 0.00
Energy relative to the elements (kJ per mole of atoms): 26.1
SG: F-43m, No. 216

abc: 4.776 4.776 4.776
angles: 60.00 60.00 60.00
Element x y z (fractional)
Zr (0.000, 0.000, 0.000)
Cd (0.500, 0.500, 0.500)
Pb (0.250, 0.250, 0.250)

Record 2
VASP calculation (meta-GGA SCAN) on ZrCd2Pb at its PBEsol-relaxed geometry.

Properties
Crystal system: tetragonal
Total energy (Ry/atom): -3.085
Magnetization (μB per cell): 0.00
Energy relative to the elements (kJ per mole of atoms): -14.4
SG: I4/mmm, No. 139

abc: 4.172 4.172 5.866
angles: 110.83 110.83 90.00
Element x y z (fractional)
Zr (0.000, 0.000, 0.000)
Cd (0.750, 0.250, 0.500)
Pb (0.500, 0.500, 0.000)
Cd (0.250, 0.750, 0.500)

Record 3
VASP calculation (meta-GGA SCAN) on ZrCd2Pb at its PBEsol-relaxed geometry.

Properties
Crystal system: trigonal
Total energy (Ry/atom): -3.074
Magnetization (μB per cell): 0.00
Energy relative to the elements (kJ per mole of atoms): 0.8
SG: R-3m, No. 166

abc: 3.237 3.237 10.420
angles: 81.06 81.06 60.00
Element x y z (fractional)
Cd (0.254, 0.254, 0.239)
Cd (0.746, 0.746, 0.761)
Pb (0.500, 0.500, 0.500)
Zr (0.000, 0.000, 0.000)

Record 4
VASP calculation (meta-GGA SCAN) on ZrCd2Pb at its PBEsol-relaxed geometry.

Properties
Crystal system: tetragonal
Total energy (Ry/atom): -3.079
Magnetization (μB per cell): 0.00
Energy relative to the elements (kJ per mole of atoms): -6.0
SG: I-4m2, No. 119

abc: 4.290 4.290 5.671
angles: 112.22 112.22 90.00
Element x y z (fractional)
Zr (0.250, 0.750, 0.500)
Cd (0.000, 0.000, 0.000)
Cd (0.750, 0.250, 0.500)
Pb (0.500, 0.500, 0.000)

Record 5
VASP calculation (meta-GGA SCAN) on ZrCd2Pb at its PBEsol-relaxed geometry.

Properties
Crystal system: orthorhombic
Total energy (Ry/atom): -3.081
Magnetization (μB per cell): 0.00
Energy relative to the elements (kJ per mole of atoms): -9.2
SG: Cmmm, No. 65

abc: 3.196 5.587 5.587
angles: 115.79 90.00 90.00
Element x y z (fractional)
Pb (0.500, 0.000, 0.000)
Cd (0.000, 0.000, 0.500)
Cd (0.000, 0.500, 0.000)
Zr (0.500, 0.500, 0.500)

Record 6
VASP calculation (meta-GGA SCAN) on ZrCd2Pb at its PBEsol-relaxed geometry.

Properties
Crystal system: orthorhombic
Total energy (Ry/atom): -3.079
Magnetization (μB per cell): 0.00
Energy relative to the elements (kJ per mole of atoms): -6.6
SG: Pmm2, No. 25

abc: 3.277 4.248 6.418
angles: 90.00 90.00 90.00
Element x y z (fractional)
Cd (0.000, 0.000, 0.008)
Pb (0.000, 0.000, 0.514)
Zr (0.500, 0.500, 0.750)
Cd (0.500, 0.500, 0.228)

Record 7
VASP calculation (meta-GGA SCAN) on ZrCd2Pb at its PBEsol-relaxed geometry.

Properties
Crystal system: monoclinic
Total energy (Ry/atom): -3.083
Magnetization (μB per cell): 0.00
Energy relative to the elements (kJ per mole of atoms): -10.9
SG: Cm, No. 8

abc: 3.126 5.696 5.798
angles: 115.00 105.64 90.00
Element x y z (fractional)
Cd (0.255, 0.844, 0.511)
Pb (0.497, 0.405, 0.993)
Zr (0.745, 0.342, 0.491)
Cd (0.003, 0.909, 0.006)

Record 8
VASP calculation (meta-GGA SCAN) on ZrCd2Pb at its PBEsol-relaxed geometry.

Properties
Crystal system: tetragonal
Total energy (Ry/atom): -3.079
Magnetization (μB per cell): 0.00
Energy relative to the elements (kJ per mole of atoms): -6.2
SG: P4/mmm, No. 123

abc: 3.151 3.151 9.334
angles: 90.00 90.00 90.00
Element x y z (fractional)
Cd (0.000, 0.000, 0.273)
Pb (0.500, 0.500, 0.000)
Zr (0.500, 0.500, 0.500)
Cd (0.000, 0.000, 0.727)

- Which value of magnetization does entry 1 give?
  0.00 μB per cell

- Look up the energy relative to the elements of the eighth one.
  -6.2 kJ per mole of atoms

- The lowest total energy belongs to which entry?
  ZrCdPb